# TlBi2Sb PBE optimized geometry
# Total DFT energy (no corrections) = -3.463 eV per atom
# E_form (uncorrected) = 0.099 eV per atom
# Total magnetization = 0.00 μB per atom
# DOS(E_F) = 1.8 states/eV/f.u.
# Distance to the lowest polymorph of the same formula = 5.1 meV/atom
data_TlBi2Sb
_cell_length_a 4.220
_cell_length_b 4.220
_cell_length_c 7.126
_cell_angle_alpha 90.00
_cell_angle_beta 90.00
_cell_angle_gamma 90.00
_symmetry_space_group_name_H-M 'P 1'
_symmetry_Int_Tables_number 1
loop_
_symmetry_equiv_pos_as_xyz
'x,y,z'
loop_
_atom_site_label
_atom_site_type_symbol
_atom_site_fract_x
_atom_site_fract_y
_atom_site_fract_z
_atom_site_occupancy
Sb1 Sb 0.500 0.500 0.000 1
Tl1 Tl 0.500 0.500 0.500 1
Bi1 Bi 0.000 0.000 0.780 1
Bi2 Bi 0.000 0.000 0.220 1